A plane-wave DFT calculation with PBE+U was carried out for an optimized crystal structure of CoSb2IF.

Unit cell a=5.610 b=3.804 c=5.610 alpha=90.00 beta=90.00 gamma=90.00
Last column: magnetic moment on the atom in μB.
Sites, in units of the cell vectors:
I  0.500  0.500  0.500  -0.01
Sb  0.000  0.000  0.500  0.03
Sb  0.500  0.000  0.000  0.02
Co  0.000  0.500  0.000  0.94
F  0.000  0.000  0.000  0.04

Results
- Energy above the most stable polymorph in this dataset: 290.5 meV per atom
- M_tot: 0.21 μB per atom